DFT (PBE with a Hubbard U) results for a relaxed structure of NpV2PbO8.

**Density**: 5.4 Mg/m³
**Total moment**: 3.00 μB per cell
**E_tot**: -7.981 eV per atom
**Crystal system**: trigonal

a = 5.8161 Å, b = 5.8161 Å, c = 7.1067 Å
α = 90.00°, β = 90.00°, γ = 120.00°
Last column: nearest neighbours and their distance in Å.
Space group P-3 (No. 147)
Symmetry-distinct sites (fractional):
Np 0.0000 0.0000 0.0000 [1 per cell]  6 O 2.20
V 0.3333 0.6667 0.2821 [2 per cell]  4 O 1.66-1.78
Pb 0.0000 0.0000 0.5000 [1 per cell]  6 O 2.69
O 0.1639 0.3312 0.2022 [6 per cell]  1 V 1.78
O 0.3333 0.6667 0.5157 [2 per cell]  1 V 1.66